First-principles (PBE) data for a geometry-optimized AcZn structure, as listed in OQMD.

Calculated values
Formation energy from the elements   -0.006 eV/atom
Total magnetic moment   0.02 μB per cell

Cell lengths 6.1583, 5.8312, 9.1089 Å; angles 90.00, 109.53, 90.00 degrees
Fractional positions:
Ac: 0.0000 0.0000 0.0000
Ac: 0.0133 0.5000 0.7524
Ac: 0.3466 0.5000 0.5111
Ac: 0.5859 0.5000 0.9929
Ac: 0.7535 0.0000 0.5051
Zn: 0.1665 0.0000 0.3672
Zn: 0.1842 0.5000 0.1413
Zn: 0.3498 0.0000 0.7521
Zn: 0.5497 0.0000 0.1378
Zn: 0.7979 0.5000 0.3628

First-principles (PBE) data for a geometry-optimized BiAuSeO structure, as listed in OQMD.

Calculated values
Relative energy among the computed polymorphs   0.21 eV per formula unit

Cell lengths 4.0138, 4.0138, 9.4259 Å; angles 90.00, 90.00, 90.00 degrees
Fractional positions:
Bi: 0.2500 0.2500 0.1325
Bi: 0.7500 0.7500 0.8675
Au: 0.2500 0.7500 0.5000
Au: 0.7500 0.2500 0.5000
Se: 0.2500 0.2500 0.7088
Se: 0.7500 0.7500 0.2912
O: 0.2500 0.7500 0.0000
O: 0.7500 0.2500 0.0000

First-principles (PBE) data for a geometry-optimized PmYB structure, as listed in OQMD.

Calculated values
Total magnetic moment   0.04 μB per cell
Relative energy among the computed polymorphs   0.00 eV per formula unit

Cell lengths 4.6021, 4.6021, 4.6021 Å; angles 60.00, 60.00, 60.00 degrees
Fractional positions:
Pm: 0.0000 0.0000 0.0000
Y: 0.5000 0.5000 0.5000
B: 0.2500 0.2500 0.2500

First-principles (PBE) data for a geometry-optimized BeAgPb structure, as listed in OQMD.

Calculated values
Relative energy among the computed polymorphs   0.00 eV per formula unit

Cell lengths 4.4843, 4.4843, 4.4843 Å; angles 60.00, 60.00, 60.00 degrees
Fractional positions:
Be: 0.0000 0.0000 0.0000
Ag: 0.2500 0.2500 0.2500
Pb: 0.5000 0.5000 0.5000

First-principles (PBE) data for a geometry-optimized WCl5 structure, as listed in OQMD.

Calculated values
Total magnetic moment   6.08 μB per cell

Cell lengths 12.5737, 12.5737, 6.1536 Å; angles 93.91, 93.91, 90.85 degrees
Fractional positions:
W: 0.1077 0.8923 0.0000
W: 0.2255 0.4408 0.4334
W: 0.4408 0.2255 0.4334
W: 0.5592 0.7745 0.5666
W: 0.7745 0.5592 0.5666
W: 0.8923 0.1077 0.0000
Cl: 0.0184 0.8278 0.6818
Cl: 0.0665 0.4492 0.2372
Cl: 0.0751 0.0751 0.8628
Cl: 0.1142 0.7303 0.1416
Cl: 0.1557 0.3464 0.6966
Cl: 0.1722 0.9816 0.3182
Cl: 0.2149 0.5995 0.6292
Cl: 0.2614 0.2614 0.2446
Cl: 0.2697 0.8858 0.8584
Cl: 0.3197 0.5112 0.1709
Cl: 0.3464 0.1557 0.6966
Cl: 0.4005 0.7851 0.3708
Cl: 0.4050 0.4050 0.6220
Cl: 0.4492 0.0665 0.2372
Cl: 0.4888 0.6803 0.8291
Cl: 0.5112 0.3197 0.1709
Cl: 0.5508 0.9335 0.7628
Cl: 0.5950 0.5950 0.3780
Cl: 0.5995 0.2149 0.6292
Cl: 0.6536 0.8443 0.3034
Cl: 0.6803 0.4888 0.8291
Cl: 0.7303 0.1142 0.1416
Cl: 0.7386 0.7386 0.7554
Cl: 0.7851 0.4005 0.3708
Cl: 0.8278 0.0184 0.6818
Cl: 0.8443 0.6536 0.3034
Cl: 0.8858 0.2697 0.8584
Cl: 0.9249 0.9249 0.1372
Cl: 0.9335 0.5508 0.7628
Cl: 0.9816 0.1722 0.3182

First-principles (PBE) data for a geometry-optimized PtBr6 structure, as listed in OQMD.

Calculated values
Total magnetic moment   0.01 μB per cell

Cell lengths 8.0804, 8.2335, 8.2465 Å; angles 91.65, 99.51, 112.07 degrees
Fractional positions:
Pt: 0.0604 0.3585 0.1458
Pt: 0.9396 0.6415 0.8542
Br: 0.0000 0.0000 0.5000
Br: 0.0092 0.7037 0.5814
Br: 0.1164 0.4513 0.8723
Br: 0.2260 0.1640 0.1571
Br: 0.3960 0.2172 0.9130
Br: 0.4214 0.7112 0.3209
Br: 0.5000 0.0000 0.5000
Br: 0.5786 0.2888 0.6791
Br: 0.6040 0.7828 0.0870
Br: 0.7740 0.8360 0.8429
Br: 0.8836 0.5487 0.1277
Br: 0.9908 0.2963 0.4186

First-principles (PBE) data for a geometry-optimized NdHoNO structure, as listed in OQMD.

Calculated values
Total magnetic moment   0.02 μB per cell
Relative energy among the computed polymorphs   0.33 eV per formula unit

Cell lengths 8.1991, 6.7042, 5.0981 Å; angles 90.00, 90.00, 90.00 degrees
Fractional positions:
Nd: 0.1302 0.0792 0.2500
Nd: 0.1302 0.4208 0.7500
Nd: 0.8698 0.5792 0.2500
Nd: 0.8698 0.9208 0.7500
Ho: 0.3807 0.5748 0.2500
Ho: 0.3807 0.9252 0.7500
Ho: 0.6193 0.0748 0.2500
Ho: 0.6193 0.4252 0.7500
N: 0.1360 0.0614 0.7500
N: 0.1360 0.4386 0.2500
N: 0.8640 0.5614 0.7500
N: 0.8640 0.9386 0.2500
O: 0.3842 0.5975 0.7500
O: 0.3842 0.9025 0.2500
O: 0.6158 0.0975 0.7500
O: 0.6158 0.4025 0.2500

First-principles (PBE) data for a geometry-optimized RbTmPtS3 structure, as listed in OQMD.

Calculated values
Total magnetic moment   0.00 μB per cell

Cell lengths 8.0645, 8.0645, 9.9723 Å; angles 90.00, 90.00, 152.00 degrees
Fractional positions:
Rb: 0.2461 0.7539 0.7500
Rb: 0.7539 0.2461 0.2500
Tm: 0.0000 0.0000 0.0000
Tm: 0.0000 0.0000 0.5000
Pt: 0.4903 0.5097 0.2500
Pt: 0.5097 0.4903 0.7500
S: 0.0799 0.9201 0.2500
S: 0.3879 0.6121 0.0717
S: 0.3879 0.6121 0.4283
S: 0.6121 0.3879 0.5717
S: 0.6121 0.3879 0.9283
S: 0.9201 0.0799 0.7500

First-principles (PBE) data for a geometry-optimized Th2Ni2Sb structure, as listed in OQMD.

Calculated values
Total magnetic moment   0.00 μB per cell

Cell lengths 7.4410, 7.4410, 3.9274 Å; angles 90.00, 90.00, 90.00 degrees
Fractional positions:
Th: 0.1763 0.3237 0.0000
Th: 0.3237 0.8237 0.0000
Th: 0.6763 0.1763 0.0000
Th: 0.8237 0.6763 0.0000
Ni: 0.1218 0.6218 0.5000
Ni: 0.3782 0.1218 0.5000
Ni: 0.6218 0.8782 0.5000
Ni: 0.8782 0.3782 0.5000
Sb: 0.0000 0.0000 0.5000
Sb: 0.5000 0.5000 0.5000

First-principles (PBE) data for a geometry-optimized NdI2 structure, as listed in OQMD.

Calculated values
Total magnetic moment   1.00 μB per cell

Cell lengths 5.4718, 5.4718, 5.4718 Å; angles 60.00, 60.00, 60.00 degrees
Fractional positions:
Nd: 0.0000 0.0000 0.0000
I: 0.2500 0.2500 0.2500
I: 0.7500 0.7500 0.7500

First-principles (PBE) data for a geometry-optimized Zr4Al3Mo2C3 structure, as listed in OQMD.

Calculated values
Total magnetic moment   0.00 μB per cell

Cell lengths 5.5722, 5.5722, 14.3203 Å; angles 101.37, 101.37, 60.17 degrees
Fractional positions:
Zr: 0.0355 0.1950 0.0954
Zr: 0.1305 0.3022 0.4047
Zr: 0.1950 0.0355 0.5954
Zr: 0.3022 0.1305 0.9047
Zr: 0.6978 0.8695 0.0953
Zr: 0.8050 0.9645 0.4046
Zr: 0.8695 0.6978 0.5953
Zr: 0.9645 0.8050 0.9046
Al: 0.1368 0.8632 0.2500
Al: 0.2995 0.4178 0.7515
Al: 0.4178 0.2995 0.2515
Al: 0.5822 0.7005 0.7485
Al: 0.7005 0.5822 0.2485
Al: 0.8632 0.1368 0.7500
Mo: 0.3544 0.5262 0.0797
Mo: 0.4738 0.6456 0.4203
Mo: 0.5262 0.3544 0.5797
Mo: 0.6456 0.4738 0.9203
C: 0.0000 0.5000 0.0000
C: 0.1751 0.6627 0.5000
C: 0.3373 0.8249 0.0000
C: 0.5000 0.0000 0.5000
C: 0.6627 0.1751 0.0000
C: 0.8249 0.3373 0.5000

First-principles (PBE) data for a geometry-optimized BiPd2O4 structure, as listed in OQMD.

Calculated values
Relative energy among the computed polymorphs   0.08 eV per formula unit

Cell lengths 5.6839, 6.0991, 6.4181 Å; angles 114.47, 96.07, 111.40 degrees
Fractional positions:
Bi: 0.1396 0.2566 0.3595
Bi: 0.8604 0.7434 0.6405
Pd: 0.0000 0.5000 0.0000
Pd: 0.5000 0.0000 0.0000
Pd: 0.5000 0.0000 0.5000
Pd: 0.5000 0.5000 0.0000
O: 0.1206 0.8546 0.0118
O: 0.1580 0.6399 0.3585
O: 0.3497 0.1041 0.7702
O: 0.4778 0.6255 0.7501
O: 0.5222 0.3745 0.2499
O: 0.6503 0.8959 0.2298
O: 0.8420 0.3601 0.6415
O: 0.8794 0.1454 0.9882

First-principles (PBE) data for a geometry-optimized DyHoGe2Pb2 structure, as listed in OQMD.

Calculated values
Total magnetic moment   0.01 μB per cell

Cell lengths 4.0939, 8.5752, 8.5752 Å; angles 29.93, 90.00, 90.00 degrees
Fractional positions:
Dy: 0.0000 0.0000 0.0000
Ho: 0.5000 0.1802 0.1802
Ge: 0.0000 0.6439 0.6439
Ge: 0.5000 0.5373 0.5373
Pb: 0.0000 0.3527 0.3527
Pb: 0.5000 0.8269 0.8269

First-principles (PBE) data for a geometry-optimized SmSiSn structure, as listed in OQMD.

Calculated values
Total magnetic moment   0.00 μB per cell

Cell lengths 4.8400, 4.8400, 4.8400 Å; angles 60.00, 60.00, 60.00 degrees
Fractional positions:
Sm: 0.0000 0.0000 0.0000
Si: 0.2500 0.2500 0.2500
Sn: 0.5000 0.5000 0.5000

First-principles (PBE) data for a geometry-optimized MgNiGePd structure, as listed in OQMD.

Calculated values
Total magnetic moment   0.00 μB per cell
Relative energy among the computed polymorphs   0.00 eV per formula unit

Cell lengths 4.3225, 4.3225, 4.3225 Å; angles 60.00, 60.00, 60.00 degrees
Fractional positions:
Mg: 0.0000 0.0000 0.0000
Ni: 0.7500 0.7500 0.7500
Ge: 0.5000 0.5000 0.5000
Pd: 0.2500 0.2500 0.2500

First-principles (PBE) data for a geometry-optimized LuMgZrCo structure, as listed in OQMD.

Calculated values
Total magnetic moment   0.00 μB per cell
Relative energy among the computed polymorphs   0.56 eV per formula unit

Cell lengths 4.7450, 4.7450, 4.7450 Å; angles 60.00, 60.00, 60.00 degrees
Fractional positions:
Lu: 0.0000 0.0000 0.0000
Mg: 0.7500 0.7500 0.7500
Zr: 0.2500 0.2500 0.2500
Co: 0.5000 0.5000 0.5000

First-principles (PBE) data for a geometry-optimized ZnCdTeO structure, as listed in OQMD.

Calculated values
Relative energy among the computed polymorphs   1.21 eV per formula unit

Cell lengths 7.7168, 7.7168, 5.4705 Å; angles 90.00, 90.00, 150.45 degrees
Fractional positions:
Zn: 0.0920 0.9080 0.7500
Zn: 0.9080 0.0920 0.2500
Cd: 0.4198 0.5802 0.7500
Cd: 0.5802 0.4198 0.2500
Te: 0.2981 0.7019 0.2500
Te: 0.7019 0.2981 0.7500
O: 0.0000 0.0000 0.0000
O: 0.0000 0.0000 0.5000

First-principles (PBE) data for a geometry-optimized GdNbZn structure, as listed in OQMD.

Calculated values
Formation energy from the elements   0.491 eV/atom
Total magnetic moment   0.45 μB per cell
Relative energy among the computed polymorphs   0.00 eV per formula unit

Cell lengths 4.6175, 4.6175, 4.6175 Å; angles 60.00, 60.00, 60.00 degrees
Fractional positions:
Gd: 0.0000 0.0000 0.0000
Nb: 0.5000 0.5000 0.5000
Zn: 0.2500 0.2500 0.2500

First-principles (PBE) data for a geometry-optimized TmTaFe structure, as listed in OQMD.

Calculated values
Formation energy from the elements   1.571 eV/atom
Total magnetic moment   0.90 μB per cell
Relative energy among the computed polymorphs   3.69 eV per formula unit

Cell lengths 4.4847, 4.4847, 4.4847 Å; angles 60.00, 60.00, 60.00 degrees
Fractional positions:
Tm: 0.0000 0.0000 0.0000
Ta: 0.2500 0.2500 0.2500
Fe: 0.7500 0.7500 0.7500

First-principles (PBE) data for a geometry-optimized Pr3Cd2InCuPt2 structure, as listed in OQMD.

Calculated values
Total magnetic moment   0.00 μB per cell

Cell lengths 4.0247, 7.7698, 7.7698 Å; angles 120.16, 90.00, 90.00 degrees
Fractional positions:
Pr: 0.0000 0.0000 0.0000
Pr: 0.0000 0.4101 0.8237
Pr: 0.0000 0.8237 0.4101
Cd: 0.5000 0.1665 0.4126
Cd: 0.5000 0.4126 0.1665
In: 0.5000 0.6536 0.6536
Cu: 0.0000 0.4140 0.4140
Pt: 0.5000 0.0737 0.7445
Pt: 0.5000 0.7445 0.0737

First-principles (PBE) data for a geometry-optimized GdTmSi2Pd4 structure, as listed in OQMD.

Calculated values
Total magnetic moment   0.00 μB per cell

Cell lengths 7.1130, 5.4532, 5.4532 Å; angles 41.58, 90.00, 90.00 degrees
Fractional positions:
Gd: 0.0000 0.0000 0.0000
Tm: 0.5000 0.8931 0.8931
Si: 0.0000 0.7169 0.7169
Si: 0.5000 0.1761 0.1761
Pd: 0.1985 0.3009 0.3009
Pd: 0.3046 0.5915 0.5915
Pd: 0.6954 0.5915 0.5915
Pd: 0.8015 0.3009 0.3009

First-principles (PBE) data for a geometry-optimized SrBeAlAu structure, as listed in OQMD.

Calculated values
Relative energy among the computed polymorphs   0.52 eV per formula unit

Cell lengths 4.8885, 4.8885, 4.8885 Å; angles 60.00, 60.00, 60.00 degrees
Fractional positions:
Sr: 0.0000 0.0000 0.0000
Be: 0.5000 0.5000 0.5000
Al: 0.7500 0.7500 0.7500
Au: 0.2500 0.2500 0.2500

First-principles (PBE) data for a geometry-optimized BaGdIr structure, as listed in OQMD.

Calculated values
Total magnetic moment   0.00 μB per cell
Relative energy among the computed polymorphs   0.00 eV per formula unit

Cell lengths 5.0671, 5.0671, 5.0671 Å; angles 60.00, 60.00, 60.00 degrees
Fractional positions:
Ba: 0.0000 0.0000 0.0000
Gd: 0.5000 0.5000 0.5000
Ir: 0.2500 0.2500 0.2500

First-principles (PBE) data for a geometry-optimized LiPmOs structure, as listed in OQMD.

Calculated values
Total magnetic moment   0.02 μB per cell

Cell lengths 4.3514, 4.3514, 4.3514 Å; angles 60.00, 60.00, 60.00 degrees
Fractional positions:
Li: 0.0000 0.0000 0.0000
Pm: 0.2500 0.2500 0.2500
Os: 0.7500 0.7500 0.7500

no.,E (eV/atom),V (A^3/atom)
1,-2.692,30.829
2,-4.463,18.982
3,-5.834,22.974
4,-2.863,21.254
5,-4.510,26.894
6,-2.371,35.639
7,-7.728,17.515
8,-5.153,25.375
9,-6.700,21.746
10,-3.672,38.615
11,-8.451,15.648
12,-5.624,12.834
13,-4.780,25.033
14,-4.876,26.724
15,-4.641,14.277
16,-5.278,18.886
17,-3.049,20.081
18,-4.846,23.205
19,-6.641,21.260
20,-4.572,23.341
21,-6.033,17.548
22,-2.939,20.652
23,-5.337,30.665
24,-5.393,19.420